1.
# Pr8Ni2Pd PBE relaxed
data_Pr8Ni2Pd
_cell_length_a 8.4150
_cell_length_b 12.9561
_cell_length_c 6.3841
_cell_angle_alpha 90.00
_cell_angle_beta 108.40
_cell_angle_gamma 90.00
_symmetry_space_group_name_H-M 'C 1 m 1'
_symmetry_Int_Tables_number 8
_symmetry_space_group_name_Hall 'C -2y'
loop_
_atom_site_label
_atom_site_type_symbol
_atom_site_fract_x
_atom_site_fract_y
_atom_site_fract_z
Pr1 Pr 0.0000 0.0000 0.0000
Pr2 Pr 0.0786 0.3669 0.7995
Pr3 Pr 0.1423 0.1355 0.5673
Pr4 Pr 0.2282 0.5000 0.3806
Pr5 Pr 0.3547 0.2087 0.1813
Ni1 Ni 0.3660 0.3103 0.7002
Pd1 Pd 0.3734 0.0000 0.3905
# - Formation energy from the elements: -124 meV per atom
# - VASP energy: -5.123 eV/atom


2.
# Na5TmHg6 PBE relaxed
data_Na5TmHg6
_cell_length_a 5.2719
_cell_length_b 15.7447
_cell_length_c 7.3821
_cell_angle_alpha 90.00
_cell_angle_beta 90.00
_cell_angle_gamma 90.00
_symmetry_space_group_name_H-M 'C m m m'
_symmetry_Int_Tables_number 65
_symmetry_space_group_name_Hall '-C 2 2'
loop_
_atom_site_label
_atom_site_type_symbol
_atom_site_fract_x
_atom_site_fract_y
_atom_site_fract_z
Na1 Na 0.0000 0.0000 0.0000
Na2 Na 0.0000 0.3260 0.5000
Na3 Na 0.0000 0.3324 0.0000
Tm1 Tm 0.0000 0.0000 0.5000
Hg1 Hg 0.0000 0.1584 0.2486
Hg2 Hg 0.0000 0.5000 0.2715
# - Formation energy from the elements: -256 meV per atom
# - VASP energy: -1.330 eV/atom


3.
# SiOs2Pb PBE relaxed
data_SiOs2Pb
_cell_length_a 2.9392
_cell_length_b 2.9392
_cell_length_c 8.1952
_cell_angle_alpha 90.00
_cell_angle_beta 90.00
_cell_angle_gamma 90.00
_symmetry_space_group_name_H-M 'P 4 m m'
_symmetry_Int_Tables_number 99
_symmetry_space_group_name_Hall 'P 4 -2'
loop_
_atom_site_label
_atom_site_type_symbol
_atom_site_fract_x
_atom_site_fract_y
_atom_site_fract_z
Si1 Si 0.0000 0.0000 0.0000
Os1 Os 0.0000 0.0000 0.3939
Os2 Os 0.5000 0.5000 0.1877
Pb1 Pb 0.5000 0.5000 0.6706
# - E_form (uncorrected): 443 meV per atom
# - VASP energy: -7.455 eV/atom


4.
# SrBiIO6 PBE relaxed
data_SrBiIO6
_cell_length_a 5.6967
_cell_length_b 5.6967
_cell_length_c 10.6973
_cell_angle_alpha 90.00
_cell_angle_beta 90.00
_cell_angle_gamma 120.00
_symmetry_space_group_name_H-M 'P -3 1 c'
_symmetry_Int_Tables_number 163
_symmetry_space_group_name_Hall '-P 3 2c'
loop_
_atom_site_label
_atom_site_type_symbol
_atom_site_fract_x
_atom_site_fract_y
_atom_site_fract_z
Sr1 Sr 0.0000 0.0000 0.0000
Bi1 Bi 0.3333 0.6667 0.2500
I1 I 0.3333 0.6667 0.7500
O1 O 0.0066 0.3751 0.6422
# - E_form (uncorrected): -1109 meV per atom
# - VASP energy: -5.205 eV/atom


5.
# YMgIn2Pd4 PBE relaxed
data_YMgIn2Pd4
_cell_length_a 4.7216
_cell_length_b 4.7216
_cell_length_c 22.8445
_cell_angle_alpha 90.00
_cell_angle_beta 90.00
_cell_angle_gamma 120.00
_symmetry_space_group_name_H-M 'R -3 m'
_symmetry_Int_Tables_number 166
_symmetry_space_group_name_Hall '-R 3 2"'
loop_
_atom_site_label
_atom_site_type_symbol
_atom_site_fract_x
_atom_site_fract_y
_atom_site_fract_z
Y1 Y 0.0000 0.0000 0.0000
Mg1 Mg 0.0000 0.0000 0.5000
In1 In 0.0000 0.0000 0.2491
Pd1 Pd 0.0000 0.0000 0.1273
Pd2 Pd 0.0000 0.0000 0.3798
# - Formation energy from the elements: -725 meV per atom
# - VASP energy: -5.014 eV/atom


6.
# Pa2InSn PBE relaxed
data_Pa2InSn
_cell_length_a 3.2864
_cell_length_b 3.2864
_cell_length_c 9.3640
_cell_angle_alpha 90.00
_cell_angle_beta 90.00
_cell_angle_gamma 90.00
_symmetry_space_group_name_H-M 'P 4/m m m'
_symmetry_Int_Tables_number 123
_symmetry_space_group_name_Hall '-P 4 2'
loop_
_atom_site_label
_atom_site_type_symbol
_atom_site_fract_x
_atom_site_fract_y
_atom_site_fract_z
Pa1 Pa 0.0000 0.0000 0.2483
In1 In 0.5000 0.5000 0.5000
Sn1 Sn 0.5000 0.5000 0.0000
# - Formation energy from the elements: -72 meV per atom
# - VASP energy: -6.505 eV/atom


7.
# LiLa2Ag3 PBE relaxed
data_LiLa2Ag3
_cell_length_a 3.7660
_cell_length_b 4.8180
_cell_length_c 8.2929
_cell_angle_alpha 90.00
_cell_angle_beta 90.00
_cell_angle_gamma 90.00
_symmetry_space_group_name_H-M 'P m m 2'
_symmetry_Int_Tables_number 25
_symmetry_space_group_name_Hall 'P 2 -2'
loop_
_atom_site_label
_atom_site_type_symbol
_atom_site_fract_x
_atom_site_fract_y
_atom_site_fract_z
Li1 Li 0.0000 0.0000 0.0000
La1 La 0.5000 0.0000 0.6567
La2 La 0.5000 0.5000 0.1835
Ag1 Ag 0.0000 0.0000 0.3243
Ag2 Ag 0.0000 0.5000 0.5083
Ag3 Ag 0.0000 0.5000 0.8501
# - Formation energy from the elements: -224 meV per atom
# - VASP energy: -3.612 eV/atom


8.
# LiPd4Au3 PBE relaxed
data_LiPd4Au3
_cell_length_a 8.8703
_cell_length_b 4.0528
_cell_length_c 8.0094
_cell_angle_alpha 90.00
_cell_angle_beta 116.75
_cell_angle_gamma 90.00
_symmetry_space_group_name_H-M 'C 1 2/m 1'
_symmetry_Int_Tables_number 12
_symmetry_space_group_name_Hall '-C 2y'
loop_
_atom_site_label
_atom_site_type_symbol
_atom_site_fract_x
_atom_site_fract_y
_atom_site_fract_z
Li1 Li 0.0000 0.0000 0.0000
Pd1 Pd 0.2480 0.0000 0.8780
Pd2 Pd 0.2491 0.0000 0.3700
Au1 Au 0.0000 0.0000 0.5000
Au2 Au 0.0010 0.5000 0.2412
# - Formation energy from the elements: -197 meV per atom
# - VASP energy: -4.262 eV/atom


9.
# MnCdHPd2 PBE relaxed
data_MnCdHPd2
_cell_length_a 4.9975
_cell_length_b 4.9975
_cell_length_c 3.0759
_cell_angle_alpha 90.00
_cell_angle_beta 90.00
_cell_angle_gamma 90.00
_symmetry_space_group_name_H-M 'P 4/m m m'
_symmetry_Int_Tables_number 123
_symmetry_space_group_name_Hall '-P 4 2'
loop_
_atom_site_label
_atom_site_type_symbol
_atom_site_fract_x
_atom_site_fract_y
_atom_site_fract_z
Mn1 Mn 0.0000 0.0000 0.0000
Cd1 Cd 0.5000 0.5000 0.5000
H1 H 0.0000 0.0000 0.5000
Pd1 Pd 0.0000 0.5000 0.0000
# - VASP energy: -4.582 eV/atom


10.
# Pr2Nd5Cd3 PBE relaxed
data_Pr2Nd5Cd3
_cell_length_a 13.4046
_cell_length_b 14.7909
_cell_length_c 6.8506
_cell_angle_alpha 90.00
_cell_angle_beta 90.00
_cell_angle_gamma 90.00
_symmetry_space_group_name_H-M 'I b a m'
_symmetry_Int_Tables_number 72
_symmetry_space_group_name_Hall '-I 2 2c'
loop_
_atom_site_label
_atom_site_type_symbol
_atom_site_fract_x
_atom_site_fract_y
_atom_site_fract_z
Pr1 Pr 0.1546 0.2078 0.0000
Nd1 Nd 0.0000 0.0000 0.2500
Nd2 Nd 0.0715 0.3324 0.5000
Nd3 Nd 0.2360 0.5000 0.2500
Cd1 Cd 0.0000 0.5000 0.2500
Cd2 Cd 0.1354 0.1379 0.5000
# - Formation energy from the elements: 30 meV per atom
# - VASP energy: -3.584 eV/atom


11.
# Ba2IrPb PBE relaxed
data_Ba2IrPb
_cell_length_a 3.8298
_cell_length_b 3.8298
_cell_length_c 9.7201
_cell_angle_alpha 90.00
_cell_angle_beta 90.00
_cell_angle_gamma 90.00
_symmetry_space_group_name_H-M 'P 4 m m'
_symmetry_Int_Tables_number 99
_symmetry_space_group_name_Hall 'P 4 -2'
loop_
_atom_site_label
_atom_site_type_symbol
_atom_site_fract_x
_atom_site_fract_y
_atom_site_fract_z
Ba1 Ba 0.0000 0.0000 0.0000
Ba2 Ba 0.5000 0.5000 0.4208
Ir1 Ir 0.0000 0.0000 0.6461
Pb1 Pb 0.5000 0.5000 0.7582
# - Formation energy from the elements: 34 meV per atom
# - VASP energy: -4.070 eV/atom


12.
# CaPt2 PBE relaxed
data_CaPt2
_cell_length_a 2.9707
_cell_length_b 3.8315
_cell_length_c 20.1676
_cell_angle_alpha 90.00
_cell_angle_beta 90.00
_cell_angle_gamma 90.00
_symmetry_space_group_name_H-M 'P m m n'
_symmetry_Int_Tables_number 59
loop_
_symmetry_equiv_pos_as_xyz
'x,y,z'
'-x,-y,-z'
'-x+1/2,-y+1/2,z'
'x+1/2,y+1/2,-z'
'x+1/2,-y,-z'
'-x+1/2,y,z'
'-x,y+1/2,-z'
'x,-y+1/2,z'
loop_
_atom_site_label
_atom_site_type_symbol
_atom_site_fract_x
_atom_site_fract_y
_atom_site_fract_z
Ca1 Ca 0.2500 0.2500 0.1233
Ca2 Ca 0.2500 0.2500 0.3071
Pt1 Pt 0.2500 0.2500 0.4623
Pt2 Pt 0.2500 0.2500 0.6027
Pt3 Pt 0.2500 0.2500 0.7850
Pt4 Pt 0.2500 0.2500 0.9672
# - Formation energy from the elements: -506 meV per atom
# - VASP energy: -5.201 eV/atom


Q: Number 1 is which compound?
A: Pr8Ni2Pd


Q: What is the formula in the second record?
A: Na5TmHg6


Q: VASP energy of number 11 (Ba2IrPb)?
A: -4.070 eV/atom